# 1
TaMn2Zn | GGA-PBE | optimized geometry

Cell lengths 3.0994, 3.1207, 6.5408 Å; angles 61.50, 90.00, 90.00 degrees
Site moments in Bohr magnetons follow the coordinates.
Element x y z (fractional)
Mn 0.0000 0.0015 0.9982  1.96
Mn 0.0000 0.4985 0.5018  1.96
Ta 0.5000 0.2500 0.2500  -0.53
Zn 0.5000 0.7500 0.7500  -0.07

Summary:
For the formation energy from the elements, the calculation gives -21 meV/atom. For the energy, the calculation gives -7.89 eV/atom.

***

# 2
MnFe3Re2 | GGA-PBE | optimized geometry

Cell lengths 4.4561, 5.6819, 6.7720 Å; angles 114.80, 90.00, 90.00 degrees
Site moments in Bohr magnetons follow the coordinates.
Element x y z (fractional)
Mn 0.7500 0.3634 0.0000  0.01
Mn 0.2500 0.6366 0.0000  0.01
Fe 0.5000 0.0000 0.0000  -1.32
Fe 0.0000 0.0000 0.0000  -1.32
Fe 0.7500 0.3258 0.3710  1.97
Fe 0.2500 0.6742 0.6290  1.97
Fe 0.7500 0.9548 0.6290  1.97
Fe 0.2500 0.0452 0.3710  1.97
Re 0.7500 0.5656 0.7616  -0.22
Re 0.7500 0.8040 0.2384  -0.22
Re 0.2500 0.4344 0.2384  -0.22
Re 0.2500 0.1960 0.7616  -0.22

Summary:
For the formation energy from the elements, the calculation gives 267 meV/atom. For the energy, the calculation gives -9.64 eV/atom.

***

# 3
Pm2HfTe5 | GGA-PBE | optimized geometry

Cell lengths 6.0230, 8.0058, 14.4351 Å; angles 90.00, 90.00, 112.10 degrees
Element x y z (fractional)
Pm 0.8466 0.6933 0.4396
Pm 0.8466 0.6933 0.0604
Pm 0.1534 0.3067 0.5604
Pm 0.1534 0.3067 0.9396
Hf 0.8120 0.6240 0.7500
Hf 0.1880 0.3760 0.2500
Te 0.9537 0.9074 0.8774
Te 0.9537 0.9074 0.6226
Te 0.3138 0.6277 0.4090
Te 0.3138 0.6277 0.0910
Te 0.7258 0.4517 0.2500
Te 0.2742 0.5483 0.7500
Te 0.6862 0.3723 0.5910
Te 0.6862 0.3723 0.9090
Te 0.0463 0.0926 0.1226
Te 0.0463 0.0926 0.3774

Summary:
For the energy, the calculation gives -5.46 eV/atom.

***

# 4
LiHf3Ag | GGA-PBE | optimized geometry

Cell lengths 4.6697, 4.6697, 4.6697 Å; angles 90.00, 90.00, 90.00 degrees
Element x y z (fractional)
Hf 0.0000 0.5000 0.0000
Hf 0.0000 0.0000 0.5000
Hf 0.5000 0.0000 0.0000
Ag 0.5000 0.5000 0.5000
Li 0.0000 0.0000 0.0000

Summary:
As for the relative energy among the computed polymorphs: 0.000 eV per atom. For the formation energy from the elements, the calculation gives 853 meV/atom. For the energy, the calculation gives -6.07 eV/atom.

***

# 5
Tb2Ga2AgPd5 | GGA-PBE | optimized geometry

Cell lengths 3.7990, 9.7984, 9.7984 Å; angles 90.00, 90.00, 90.00 degrees
Element x y z (fractional)
Tb 0.0000 0.6778 0.1778
Tb 0.0000 0.3222 0.8222
Tb 0.0000 0.1778 0.3222
Tb 0.0000 0.8222 0.6778
Ga 0.0000 0.1207 0.6207
Ga 0.0000 0.8793 0.3793
Ga 0.0000 0.6207 0.8793
Ga 0.0000 0.3793 0.1207
Ag 0.0000 0.0000 0.0000
Ag 0.0000 0.5000 0.5000
Pd 0.5000 0.2083 0.0658
Pd 0.5000 0.7917 0.9342
Pd 0.5000 0.0658 0.7917
Pd 0.5000 0.7083 0.4342
Pd 0.5000 0.9342 0.2083
Pd 0.5000 0.2917 0.5658
Pd 0.5000 0.5658 0.7083
Pd 0.5000 0.4342 0.2917
Pd 0.5000 0.5000 0.0000
Pd 0.5000 0.0000 0.5000

Summary:
For the formation energy from the elements, the calculation gives -655 meV/atom. For the energy, the calculation gives -5.07 eV/atom.

***

# 6
Sc3Zn5 | GGA-PBE | optimized geometry

Cell lengths 8.4620, 8.4645, 4.8860 Å; angles 90.00, 90.00, 120.07 degrees
Element x y z (fractional)
Sc 0.9998 0.3820 0.7500
Sc 0.0002 0.6180 0.2500
Sc 0.3821 0.9997 0.7500
Sc 0.3825 0.3826 0.2500
Sc 0.6179 0.0003 0.2500
Sc 0.6175 0.6174 0.7500
Zn 0.0002 0.1989 0.2500
Zn 0.9998 0.8012 0.7500
Zn 0.1991 0.0003 0.2500
Zn 0.1996 0.1996 0.7500
Zn 0.3334 0.6666 0.0000
Zn 0.3334 0.6666 0.5000
Zn 0.6666 0.3334 0.0000
Zn 0.6666 0.3334 0.5000
Zn 0.8009 0.9997 0.7500
Zn 0.8004 0.8005 0.2500

Summary:
As for the relative energy among the computed polymorphs: 0.243 eV per atom. For the formation energy from the elements, the calculation gives -88 meV/atom. For the energy, the calculation gives -3.26 eV/atom.

***

# 7
LaSmSbAu | GGA-PBE | optimized geometry

Cell lengths 5.3933, 5.3933, 5.3933 Å; angles 60.00, 60.00, 60.00 degrees
Element x y z (fractional)
Sb 0.5000 0.5000 0.5000
Au 0.0000 0.0000 0.0000
Sm 0.7500 0.7500 0.7500
La 0.2500 0.2500 0.2500

Summary:
For the energy, the calculation gives -5.10 eV/atom.

***

# 8
InCoCl3 | GGA-PBE | optimized geometry

Cell lengths 4.8730, 4.8730, 4.8730 Å; angles 90.00, 90.00, 90.00 degrees
Site moments in Bohr magnetons follow the coordinates.
Element x y z (fractional)
Cl 0.0000 0.5000 0.0000  0.10
Cl 0.0000 0.0000 0.5000  0.06
Cl 0.5000 0.0000 0.0000  0.13
Co 0.0000 0.0000 0.0000  2.44
In 0.5000 0.5000 0.5000  0.03

Summary:
For the energy, the calculation gives -3.64 eV/atom.

***

# 9
Nd6PC2I3 | GGA-PBE | optimized geometry

Cell lengths 6.9284, 6.9284, 8.1307 Å; angles 98.17, 98.17, 120.00 degrees
Element x y z (fractional)
Nd 0.9411 0.5858 0.8229
Nd 0.7037 0.7037 0.1765
Nd 0.0589 0.4142 0.1771
Nd 0.5858 0.9411 0.8229
Nd 0.2963 0.2963 0.8235
Nd 0.4142 0.0589 0.1771
P 0.0000 0.0000 0.0000
C 0.3333 0.6667 0.0000
C 0.6667 0.3333 0.0000
I 0.1636 0.8364 0.5000
I 0.8364 0.1636 0.5000
I 0.5000 0.5000 0.5000

Summary:
For the energy, the calculation gives -5.68 eV/atom.

***

# 10
NdPu2I8 | GGA-PBE | optimized geometry

Cell lengths 8.4007, 9.0029, 9.0029 Å; angles 65.58, 69.85, 69.85 degrees
Site moments in Bohr magnetons follow the coordinates.
Element x y z (fractional)
Nd 0.0000 0.0000 0.0000  0.04
Pu 0.4469 0.1253 0.1253  5.44
Pu 0.5531 0.8747 0.8747  5.44
I 0.7450 0.1753 0.7554  -0.03
I 0.2550 0.2446 0.8247  -0.03
I 0.7289 0.2143 0.2143  -0.02
I 0.2711 0.7857 0.7857  -0.02
I 0.7450 0.7554 0.1753  -0.03
I 0.2550 0.8247 0.2446  -0.03
I 0.1724 0.3234 0.3234  -0.06
I 0.8276 0.6766 0.6766  -0.06

Summary:
For the energy, the calculation gives -5.27 eV/atom.

***

# 11
Li2ZnNi5B2 | GGA-PBE | optimized geometry

Cell lengths 2.7453, 8.7740, 8.7740 Å; angles 90.00, 90.00, 90.00 degrees
Element x y z (fractional)
Li 0.0000 0.6758 0.1758
Li 0.0000 0.3242 0.8242
Li 0.0000 0.1758 0.3242
Li 0.0000 0.8242 0.6758
Zn 0.0000 0.0000 0.0000
Zn 0.0000 0.5000 0.5000
Ni 0.5000 0.2211 0.0706
Ni 0.5000 0.7789 0.9294
Ni 0.5000 0.0706 0.7789
Ni 0.5000 0.7211 0.4294
Ni 0.5000 0.9294 0.2211
Ni 0.5000 0.2789 0.5706
Ni 0.5000 0.5706 0.7211
Ni 0.5000 0.4294 0.2789
Ni 0.5000 0.5000 0.0000
Ni 0.5000 0.0000 0.5000
B 0.0000 0.1241 0.6241
B 0.0000 0.8759 0.3759
B 0.0000 0.6241 0.8759
B 0.0000 0.3759 0.1241

Summary:
For the formation energy from the elements, the calculation gives -271 meV/atom. For the energy, the calculation gives -5.01 eV/atom.

***

# 12
Pm3ErSc3Se8 | GGA-PBE | optimized geometry

Cell lengths 7.9844, 7.9853, 8.1120 Å; angles 119.49, 90.00, 120.00 degrees
Element x y z (fractional)
Pm 0.0000 0.0000 0.0000
Pm 0.0000 0.5000 0.0000
Pm 0.5000 0.5000 0.0000
Er 0.0000 0.0000 0.5000
Sc 0.5000 0.0000 0.5000
Sc 0.5000 0.5000 0.5000
Sc 0.0000 0.5000 0.5000
Se 0.2584 0.5168 0.2752
Se 0.7416 0.4832 0.7248
Se 0.7477 0.4954 0.2644
Se 0.2523 0.5046 0.7356
Se 0.7475 0.0167 0.2643
Se 0.2525 0.9833 0.7357
Se 0.2692 0.0167 0.2643
Se 0.7308 0.9833 0.7357

Summary:
For the energy, the calculation gives -6.15 eV/atom.

***

# 13
VInAg2 | GGA-PBE | optimized geometry

Cell lengths 7.6358, 7.6358, 6.0963 Å; angles 51.22, 51.22, 90.00 degrees
Site moments in Bohr magnetons follow the coordinates.
Element x y z (fractional)
In 0.0000 0.0000 0.0000  0.04
In 0.7500 0.2500 0.5000  0.04
Ag 0.6187 0.1250 0.2500  0.06
Ag 0.1313 0.6250 0.2500  0.06
Ag 0.3750 0.3813 0.7500  0.06
Ag 0.8750 0.8687 0.7500  0.06
V 0.5000 0.5000 0.0000  2.64
V 0.2500 0.7500 0.5000  2.64

Summary:
For the formation energy from the elements, the calculation gives 519 meV/atom. For the energy, the calculation gives -3.87 eV/atom.

***

# 14
PrGdBiPb | GGA-PBE | optimized geometry

Cell lengths 5.5947, 5.5947, 5.5947 Å; angles 60.00, 60.00, 60.00 degrees
Site moments in Bohr magnetons follow the coordinates.
Element x y z (fractional)
Pb 0.2500 0.2500 0.2500  0.02
Pr 0.0000 0.0000 0.0000  -0.08
Gd 0.5000 0.5000 0.5000  -7.10
Bi 0.7500 0.7500 0.7500  0.02

Summary:
For the formation energy from the elements, the calculation gives -535 meV/atom. For the energy, the calculation gives -7.15 eV/atom.

***

# 15
Er2ThCl | GGA-PBE | optimized geometry

Cell lengths 3.6049, 3.6049, 9.9761 Å; angles 79.59, 79.59, 60.00 degrees
Element x y z (fractional)
Cl 0.0000 0.0000 0.0000
Th 0.5000 0.5000 0.5000
Er 0.7403 0.7403 0.7791
Er 0.2597 0.2597 0.2209

Summary:
For the energy, the calculation gives -5.26 eV/atom.

***

# 16
GdLuNiGe | GGA-PBE | optimized geometry

Cell lengths 4.8970, 4.8970, 4.8970 Å; angles 60.00, 60.00, 60.00 degrees
Site moments in Bohr magnetons follow the coordinates.
Element x y z (fractional)
Gd 0.0000 0.0000 0.0000  -6.99
Ni 0.2500 0.2500 0.2500  0.04
Ge 0.7500 0.7500 0.7500  0.02
Lu 0.5000 0.5000 0.5000  -0.01

Summary:
For the formation energy from the elements, the calculation gives -543 meV/atom. For the energy, the calculation gives -7.79 eV/atom.

***

# 17
Fe3ReSn | GGA-PBE | optimized geometry

Cell lengths 4.5951, 4.5951, 4.5951 Å; angles 90.00, 90.00, 90.00 degrees
Site moments in Bohr magnetons follow the coordinates.
Element x y z (fractional)
Re 0.5000 0.5000 0.5000  -1.97
Sn 0.0000 0.0000 0.0000  -0.15
Fe 0.0000 0.5000 0.0000  2.65
Fe 0.0000 0.0000 0.5000  2.86
Fe 0.5000 0.0000 0.0000  2.55

Summary:
As for the relative energy among the computed polymorphs: 0.813 eV per atom. For the formation energy from the elements, the calculation gives 2102 meV/atom. For the energy, the calculation gives -6.27 eV/atom.

***

# 18
LiZrTeN2 | GGA-PBE | optimized geometry

Cell lengths 4.2734, 4.2734, 5.8769 Å; angles 90.00, 90.00, 90.00 degrees
Site moments in Bohr magnetons follow the coordinates.
Element x y z (fractional)
Te 0.0000 0.0000 0.5000  0.22
Li 0.5000 0.5000 0.5000  0.01
Zr 0.0000 0.0000 0.0000  -0.09
N 0.0000 0.5000 0.0000  0.76
N 0.5000 0.0000 0.0000  0.76

Summary:
As for the relative energy among the computed polymorphs: 0.000 eV per atom. For the energy, the calculation gives -5.90 eV/atom.

***

# 19
TlReBr2 | GGA-PBE | optimized geometry

Cell lengths 3.4178, 3.4178, 10.1944 Å; angles 90.00, 90.00, 124.60 degrees
Element x y z (fractional)
Re 0.5000 0.5000 0.2500
Tl 0.5000 0.5000 0.7500
Br 0.0000 0.0000 0.0544
Br 0.0000 0.0000 0.4456

Summary:
As for the relative energy among the computed polymorphs: 0.207 eV per atom. For the energy, the calculation gives -4.01 eV/atom.

***

# 20
Ir2WSe | GGA-PBE | optimized geometry

Cell lengths 2.8001, 2.8001, 9.4661 Å; angles 90.00, 90.00, 119.84 degrees
Element x y z (fractional)
Ir 0.0000 0.0000 0.9955
Ir 0.5000 0.5000 0.2455
Se 0.0000 0.0000 0.4998
W 0.5000 0.5000 0.7591

Summary:
As for the relative energy among the computed polymorphs: 0.501 eV per atom. For the energy, the calculation gives -7.96 eV/atom.